1.
A plane-wave DFT calculation with PBE-GGA was carried out for a relaxed TaCoPb2 crystal.

Computed properties:
VASP energy   -5.93 eV per atom
Distance to the lowest polymorph of the same formula   457 meV/atom

abc: 9.076 9.076 9.076
angles: 20.40 20.40 20.40
Element x y z (fractional)
Pb  0.009  0.009  0.009
Pb  0.491  0.491  0.491
Co  0.750  0.750  0.750
Ta  0.250  0.250  0.250

---

2.
A plane-wave DFT calculation with PBE-GGA was carried out for a relaxed Ta4CoPb crystal.

Computed properties:
VASP energy   -9.03 eV per atom

abc: 5.484 5.484 5.484
angles: 60.00 60.00 60.00
Element x y z (fractional)
Co  0.750  0.750  0.750
Pb  0.000  0.000  0.000
Ta  0.875  0.375  0.375
Ta  0.375  0.875  0.375
Ta  0.375  0.375  0.875
Ta  0.375  0.375  0.375

---

3.
A plane-wave DFT calculation with PBE-GGA was carried out for a relaxed TaCoPb2 crystal.

Computed properties:
VASP energy   -5.83 eV per atom
Distance to the lowest polymorph of the same formula   557 meV/atom

abc: 5.524 5.524 3.132
angles: 77.56 77.56 110.29
Element x y z (fractional)
Co  0.000  0.500  0.500
Pb  0.500  0.500  0.000
Pb  0.000  0.000  0.000
Ta  0.500  0.000  0.500

---

4.
A plane-wave DFT calculation with PBE-GGA was carried out for a relaxed TaCoPb2 crystal.

Computed properties:
VASP energy   -5.88 eV per atom
Distance to the lowest polymorph of the same formula   508 meV/atom

abc: 5.619 5.619 5.619
angles: 146.97 122.60 67.84
Element x y z (fractional)
Pb  0.029  0.029  0.000
Pb  0.471  0.471  0.000
Ta  0.750  0.250  0.500
Co  0.250  0.750  0.500

---

Values of magnetization, in order: 0.18, 1.12, 1.09, 0.00, all in Bohr magnetons per cell.